(1)
The following is a GGA-PBEsol calculation of an optimized crystal structure of InIrN3, from Alexandria via LeMat-Bulk.

abc: 3.901 3.901 3.901
angles: 90.00 90.00 90.00
Fractional coordinates of all 5 atoms:
N: 0.000 0.500 0.000
N: 0.000 0.000 0.500
N: 0.500 0.000 0.000
Ir: 0.000 0.000 0.000
In: 0.500 0.500 0.500

Values from the calculation:
DFT total energy = -32.98 eV/f.u.
formation energy (no corrections) = 1.08 eV per atom

=====

(2)
The following is a GGA-PBEsol calculation of an optimized crystal structure of In2NiIrN, from Alexandria via LeMat-Bulk.

abc: 4.543 5.069 5.069
angles: 90.00 90.00 90.00
Fractional coordinates of all 5 atoms:
Ni: 0.500 0.000 0.000
N: 0.500 0.500 0.500
Ir: 0.000 0.000 0.000
In: 0.000 0.000 0.500
In: 0.000 0.500 0.000

Values from the calculation:
DFT total energy = -23.43 eV/f.u.
formation energy (no corrections) = 1.41 eV per atom

=====

(3)
The following is a GGA-PBEsol calculation of an optimized crystal structure of NaIn2Ir2, from Alexandria via LeMat-Bulk.

abc: 3.000 7.802 7.802
angles: 90.00 90.00 90.00
Fractional coordinates of all 10 atoms:
Na: 0.000 0.000 0.000
Na: 0.000 0.500 0.500
Ir: 0.000 0.366 0.866
Ir: 0.000 0.866 0.634
Ir: 0.000 0.634 0.134
Ir: 0.000 0.134 0.366
In: 0.500 0.163 0.663
In: 0.500 0.663 0.837
In: 0.500 0.837 0.337
In: 0.500 0.337 0.163

Values from the calculation:
DFT total energy = -27.34 eV/f.u.
formation enthalpy at 0 K = -0.0653 eV/atom

=====

(4)
The following is a GGA-PBEsol calculation of an optimized crystal structure of NaIn3Ir, from Alexandria via LeMat-Bulk.

abc: 5.131 5.131 5.131
angles: 90.00 90.00 90.00
Fractional coordinates of all 5 atoms:
Na: 0.500 0.500 0.500
Ir: 0.000 0.000 0.000
In: 0.000 0.500 0.000
In: 0.000 0.000 0.500
In: 0.500 0.000 0.000

Values from the calculation:
DFT total energy = -20.61 eV/f.u.
formation enthalpy at 0 K = -0.0886 eV/atom

=====

Record-wise total magnetic moment values, in Bohr magnetons per cell: 0.384, 3.707, 0.001, 0.000
Record-wise volume values, in A^3/atom: 11.869, 23.351, 18.259, 27.011